Entry 1:
# CaMo

A relaxed structure of CaMo (PBE, the Alexandria database).

Output
- ΔE_f: 1295 meV/atom
- Space-group type: Pm-3m (221)

Cell: 3.6539 3.6539 3.6539 Å, 90.00 90.00 90.00°
Closest atoms and distances in Å follow each position.
Atoms (fractional coordinates):
Mo 0.5000 0.5000 0.5000  8 Ca 3.16
Ca 0.0000 0.0000 0.0000  8 Mo 3.16


Entry 2:
# CaMo8

A relaxed structure of CaMo8 (PBE, the Alexandria database).

Output
- ΔE_f: 503 meV/atom
- Space-group type: I4/mmm (139)

Cell: 6.1594 6.1594 6.1594 Å, 98.61 98.61 134.47°
Closest atoms and distances in Å follow each position.
Atoms (fractional coordinates):
Ca 0.0000 0.0000 0.0000  12 Mo 2.78-3.10
Mo 0.3249 0.6751 0.0000  6 Mo 2.62-2.93
Mo 0.6751 0.3249 0.0000  6 Mo 2.62-2.93
Mo 0.0000 0.3458 0.3458  3 Mo 2.48-2.62
Mo 0.6751 0.6751 0.3502  6 Mo 2.62-2.93
Mo 0.3458 0.0000 0.3458  3 Mo 2.48-2.62
Mo 0.3249 0.3249 0.6498  6 Mo 2.62-2.93
Mo 0.0000 0.6542 0.6542  3 Mo 2.48-2.62
Mo 0.6542 0.0000 0.6542  3 Mo 2.48-2.62


Entry 3:
# CaMo

A relaxed structure of CaMo (PBE, the Alexandria database).

Output
- ΔE_f: 1420 meV/atom
- Space-group type: I-43m (217)

Cell: 9.3702 9.3702 9.3702 Å, 90.00 90.00 90.00°
Closest atoms and distances in Å follow each position.
Atoms (fractional coordinates):
Ca 0.2112 0.2112 0.2112  4 Mo 3.19-3.25
Ca 0.2112 0.7888 0.7888  4 Mo 3.19-3.25
Ca 0.7888 0.2112 0.7888  4 Mo 3.19-3.25
Ca 0.7888 0.7888 0.2112  4 Mo 3.19-3.25
Ca 0.7112 0.7112 0.7112  4 Mo 3.19-3.25
Ca 0.7112 0.2888 0.2888  4 Mo 3.19-3.25
Ca 0.2888 0.7112 0.2888  4 Mo 3.19-3.25
Ca 0.2888 0.2888 0.7112  4 Mo 3.19-3.25
Mo 0.4076 0.4076 0.4076  3 Mo 2.45
Mo 0.4076 0.5924 0.5924  3 Mo 2.45
Mo 0.5924 0.4076 0.5924  3 Mo 2.45
Mo 0.5924 0.5924 0.4076  3 Mo 2.45
Mo 0.9076 0.9076 0.9076  3 Mo 2.45
Mo 0.9076 0.0924 0.0924  3 Mo 2.45
Mo 0.0924 0.9076 0.0924  3 Mo 2.45
Mo 0.0924 0.0924 0.9076  3 Mo 2.45